No. 1
Pm6SnSb2Se3 (PBE, optimized geometry); raw formation energy = -1.443 eV/atom
1.0
4.3674 0.0000 0.0000
0.0000 8.6912 0.3411
-2.1837 -2.4769 9.1577
Sb Sn Pm Se
2 1 6 3
Cartesian
2.1837 4.1419 6.3300 Sb
0.0000 2.0725 3.1688 Sb
2.1837 0.0000 0.0000 Sn
2.1837 -0.2676 9.1988 Pm
0.0000 6.4819 0.3001 Pm
2.1837 4.2970 3.2152 Pm
2.1837 -0.1621 3.0922 Pm
0.0000 1.9173 6.2837 Pm
0.0000 6.3765 6.4067 Pm
2.1837 4.3456 0.1706 Se
0.0000 6.4077 3.3519 Se
2.1837 -0.1934 6.1469 Se

***

No. 2
CePm5Pr2Nd (PBE, optimized geometry); ΔE_f = 274 meV per atom
1.0
-4.2852 -2.3066 6.7158
7.3462 0.1814 4.7498
-1.4679 8.4027 1.9493
Ce Nd Pr Pm
2 2 4 10
Cartesian
-0.7339 4.2013 0.9747 Ce
3.6731 0.0907 2.3749 Ce
2.9392 4.2921 3.3495 Nd
0.0000 0.0000 0.0000 Nd
-1.8028 2.0465 4.6737 Pr
3.3959 4.2310 8.7412 Pr
-0.6535 6.2944 6.8660 Pr
2.2466 -0.0168 6.5489 Pr
4.4558 2.1021 5.8163 Pm
0.9100 1.2825 3.2723 Pm
-2.8627 4.1754 7.5986 Pm
2.0543 0.8095 9.5799 Pm
0.7966 3.1388 6.7075 Pm
-2.1426 -1.1533 3.3579 Pm
3.0846 6.2877 6.3789 Pm
-0.4612 5.4681 3.8350 Pm
0.6831 4.9951 10.1426 Pm
-1.4915 -0.0102 7.0360 Pm

***

No. 3
Si3BF (PBE, optimized geometry); raw formation energy = 0.525 eV/atom; energy above the lowest structure with this stoichiometry = 0 meV per atom
1.0
4.1512 0.0000 0.0000
0.0000 4.1512 0.0000
0.0000 0.0000 4.1512
F Si B
1 3 1
Cartesian
2.0756 2.0756 2.0756 F
0.0000 0.0000 2.0756 Si
0.0000 2.0756 0.0000 Si
2.0756 0.0000 0.0000 Si
0.0000 0.0000 0.0000 B

***

No. 4
CoAg2Pd2 (PBE, optimized geometry); energy above the lowest structure with this stoichiometry = 288 meV per atom; ΔE_f = 608 meV per atom
1.0
-1.4360 -1.3453 3.0225
2.1174 -2.9055 -0.2873
5.2361 1.0715 5.1163
Pd Ag Co
2 2 1
Cartesian
3.8471 -1.9797 3.0983 Pd
2.0704 -1.1996 4.7532 Pd
4.6417 -1.6645 5.7679 Ag
1.2757 -1.5148 2.0836 Ag
0.0000 0.0000 0.0000 Co

***

No. 5
LiAc2IrPb (PBE, optimized geometry); ΔE_f = -510 meV per atom
1.0
-1.6837 -3.8891 1.9449
5.5427 -4.2413 -3.6827
2.9546 2.4567 7.4703
Li Ac Ir Pb
2 4 2 2
Cartesian
4.6449 -1.7153 3.3857 Li
2.1687 -3.9582 2.3467 Li
1.2519 -0.6596 2.5596 Ac
5.5617 -5.0140 3.1728 Ac
2.8822 -5.8901 -0.8986 Ac
3.9314 0.2165 6.6311 Ac
-0.3446 -3.1653 1.7565 Ir
7.1582 -2.5083 3.9759 Ir
2.5597 -2.7182 5.1649 Pb
4.2539 -2.9554 0.5676 Pb

***

No. 6
NaZr2I8 (PBE, optimized geometry); raw formation energy = -0.796 eV/atom; energy above the lowest structure with this stoichiometry = 53 meV per atom
1.0
5.9021 0.0002 -0.0004
-0.0004 8.6319 -4.9830
0.0000 -0.0015 9.9691
I Na Zr
8 1 2
Cartesian
1.5086 1.4880 2.5979 I
1.5088 5.6384 4.9755 I
1.5090 1.5037 7.3812 I
1.5037 5.7539 0.0005 I
4.3929 2.9922 0.0102 I
4.3931 7.1424 2.3877 I
4.3927 7.1269 -2.3956 I
4.3980 2.8767 4.9849 I
0.0000 -0.0015 9.9690 Na
1.3605 2.8766 4.9851 Zr
4.5412 5.7539 0.0005 Zr

***

No. 7
Y2Zn2Hg3 (PBE, optimized geometry); energy above the lowest structure with this stoichiometry = 0 meV per atom; ΔE_f = -313 meV per atom
1.0
4.2354 0.0000 0.0000
-2.1177 5.6688 0.1113
0.0000 -1.1606 6.6280
Hg Y Zn
3 2 2
Cartesian
0.0000 0.0000 0.0000 Hg
2.1177 1.2687 5.6262 Hg
0.0000 3.2394 1.1131 Hg
0.0000 3.4160 4.5187 Y
2.1177 1.0922 2.2207 Y
2.1177 4.2783 2.4822 Zn
0.0000 0.2298 4.2571 Zn

***

No. 8
Sc3NbPd (PBE, optimized geometry); energy above the lowest structure with this stoichiometry = 251 meV per atom; ΔE_f = 605 meV per atom
1.0
-1.1708 3.2265 -3.5658
2.2297 -2.8874 -3.3448
-4.2607 -2.3977 -0.7706
Pd Sc Nb
1 3 1
Cartesian
-1.6009 -1.0293 -3.8406 Pd
-2.1304 -1.1988 -0.3853 Sc
1.1149 -1.4437 -1.6724 Sc
-0.5854 1.6133 -1.7829 Sc
0.0000 0.0000 0.0000 Nb

***

No. 9
CaMo2Br (PBE, optimized geometry); raw formation energy = 1.330 eV/atom; energy above the lowest structure with this stoichiometry = 1318 meV per atom
1.0
-3.5227 2.2766 -2.7935
-1.6021 -4.4885 -1.6376
-1.9335 -0.1537 2.3130
Mo Br Ca
2 1 1
Cartesian
-2.5624 -1.1060 -2.2156 Mo
0.0000 0.0000 0.0000 Mo
-2.7281 1.0614 -0.2402 Br
-1.7678 -2.3211 0.3377 Ca

***

No. 10
Sc3AlAg2 (PBE, optimized geometry); ΔE_f = -343 meV per atom
1.0
-1.4624 -2.9132 0.9531
1.8836 -0.0210 2.8258
-7.4049 5.3449 4.9755
Sc Ag Al
3 2 1
Cartesian
-2.4834 1.7925 1.6686 Sc
0.0000 0.0000 0.0000 Sc
-4.9216 3.5524 3.3069 Sc
-5.9190 2.9573 6.0081 Ag
-1.0648 -0.5465 2.7464 Ag
-3.4919 1.2054 4.3773 Al

***

No. 11
Rb3Be2I8 (PBE, optimized geometry); raw formation energy = -0.899 eV/atom
1.0
-3.0993 -2.8783 6.7058
-7.1118 -3.5028 -0.1035
1.1214 -11.2604 0.3719
I Be Rb
8 2 3
Cartesian
-3.3624 -2.2105 2.1841 I
-1.9706 -9.5581 2.0378 I
-3.5949 -6.3476 4.9877 I
-5.5833 -6.6571 1.6133 I
-5.4949 -11.2939 1.9865 I
-5.7273 -15.4310 4.7901 I
-7.1192 -8.0834 4.9364 I
-3.5064 -10.9845 5.3609 I
-3.2895 -11.3545 2.9797 Be
-5.8002 -6.2870 3.9945 Be
-1.7265 -5.5123 1.5229 Rb
0.0000 0.0000 0.0000 Rb
-7.3633 -12.1293 5.4513 Rb

***

No. 12
EuAgSnBi (PBE, optimized geometry); ΔE_f = -252 meV per atom
1.0
5.4361 0.0000 0.0000
2.7181 4.7078 0.0000
2.7181 1.5693 4.4386
Sn Bi Eu Ag
1 1 1 1
Cartesian
2.7181 1.5693 1.1096 Sn
0.0000 0.0000 0.0000 Bi
8.1542 4.7078 3.3289 Eu
5.4361 3.1386 2.2193 Ag

***

No. 13
SrCaF (PBE, optimized geometry); raw formation energy = -1.606 eV/atom
1.0
3.9318 0.0000 0.0000
-1.9659 3.4050 0.0000
0.0000 0.0000 6.4306
Sr Ca F
1 1 1
Cartesian
1.9659 1.1350 2.6564 Sr
0.0000 0.0000 5.8281 Ca
0.0000 2.2700 4.3768 F

***

No. 14
CePrOs (PBE, optimized geometry); energy above the lowest structure with this stoichiometry = 0 meV per atom; ΔE_f = -89 meV per atom
1.0
4.0358 -0.0002 -1.1531
-0.2378 5.5853 -0.8267
0.0279 0.1698 7.6978
Os Pr Ce
2 2 2
Cartesian
3.0981 1.1364 3.2315 Os
0.7088 4.6442 2.5129 Os
1.6375 1.3456 5.7560 Pr
2.1694 4.4350 -0.0117 Pr
3.1781 4.0201 3.5092 Ce
0.6288 1.7604 2.2351 Ce

***

No. 15
CaCe4Sn4 (PBE, optimized geometry); ΔE_f = -347 meV per atom
1.0
-0.5652 -1.3315 6.4037
-7.4207 -5.3101 -1.7590
5.5364 -7.3897 -1.0480
Ca Ce Sn
2 8 8
Cartesian
-1.2247 -7.0157 1.7984 Ca
0.0000 0.0000 0.0000 Ca
-0.6957 -10.2019 3.4777 Ce
1.7353 -5.9009 -0.0038 Ce
-4.8461 -5.1035 0.8063 Ce
0.3494 -3.6096 3.7155 Ce
-3.7993 -7.2222 -0.7670 Ce
2.5763 -8.5044 0.7542 Ce
-2.9785 -10.8451 1.9173 Ce
-2.1393 -4.7376 4.4865 Ce
-1.8962 -4.0985 1.2663 Sn
-4.0529 -7.9300 2.4380 Sn
1.4222 -6.5284 3.2127 Sn
-2.7371 -10.2097 -1.2851 Sn
-0.3719 -9.5058 0.2765 Sn
2.3243 -9.2085 3.9415 Sn
0.6715 -2.9172 0.5321 Sn
-5.1576 -5.7272 4.0050 Sn

***

No. 16
Zr2HgSe (PBE, optimized geometry); raw formation energy = -0.390 eV/atom; energy above the lowest structure with this stoichiometry = 200 meV per atom
1.0
0.0000 3.4581 3.4581
3.4581 0.0000 3.4581
3.4581 3.4581 0.0000
Zr Se Hg
2 1 1
Cartesian
5.1872 5.1872 5.1872 Zr
1.7291 1.7291 1.7291 Zr
0.0000 0.0000 0.0000 Se
3.4581 3.4581 3.4581 Hg

***

No. 17
RbZn2In9 (PBE, optimized geometry); ΔE_f = -9 meV per atom
1.0
7.5524 0.0000 3.4770
3.7762 8.9147 1.7385
0.0481 0.0000 9.8363
In Zn Rb
18 4 2
Cartesian
7.5765 4.4574 8.3951 In
2.6890 3.8029 3.0024 In
2.6269 6.0601 10.3030 In
2.7131 0.6545 7.9205 In
6.3791 7.3120 7.1234 In
0.0000 0.0000 0.0000 In
7.2991 5.1118 5.1248 In
5.8317 1.6027 8.3123 In
1.7930 2.8546 9.9191 In
7.8538 5.1118 11.6654 In
4.8875 0.6545 5.3928 In
4.9736 6.0601 3.0103 In
4.9116 3.8029 10.3109 In
3.5470 8.2603 8.3045 In
5.8076 2.8546 3.3942 In
4.0536 8.2603 5.0088 In
8.7739 7.3120 9.6669 In
1.7689 1.6027 5.0009 In
7.5885 2.2287 10.8542 Zn
5.7004 6.6861 9.9850 Zn
9.4526 6.6861 6.8053 Zn
7.5645 2.2287 5.9361 Zn
3.8003 4.4574 6.6566 Rb
3.7762 0.0000 1.7385 Rb

***

No. 18
Pa2HgI8 (PBE, optimized geometry); raw formation energy = -0.704 eV/atom; energy above the lowest structure with this stoichiometry = 65 meV per atom
1.0
6.1443 -0.0018 -0.0015
-0.0024 10.0868 -5.8218
-0.0018 -0.0017 11.6475
I Pa Hg
8 2 1
Cartesian
1.6104 1.9176 8.3466 I
1.6108 1.8977 3.3131 I
1.4652 6.7237 0.0007 I
1.6096 6.2670 5.8125 I
4.5298 8.1658 -2.5225 I
4.6749 3.3597 5.8232 I
4.5306 3.8164 0.0116 I
4.5293 8.1856 2.5110 I
1.6015 3.3608 5.8241 Pa
4.5386 6.7226 -0.0001 Pa
-0.0018 -0.0017 11.6474 Hg

***

No. 19
BeCdBIrAu (PBE, optimized geometry); energy above the lowest structure with this stoichiometry = 1 meV per atom; ΔE_f = -125 meV per atom
1.0
-0.7877 -2.6831 -1.9189
-0.9575 0.0987 3.2520
-18.9853 9.7843 -5.8866
Ir Cd Be B Au
3 3 3 3 3
Cartesian
-1.7835 -0.3737 1.2547 Ir
-14.3838 5.2219 -4.3934 Ir
-7.2110 3.7163 -2.2359 Ir
-18.8336 7.5151 -5.7731 Cd
-6.2333 1.9195 -0.1251 Cd
-11.6608 6.0095 -3.6156 Cd
-2.9508 -0.6702 -0.8484 Be
-14.7633 7.6084 -4.5776 Be
-9.3358 3.5184 -1.0870 Be
-15.0568 6.4668 -2.8609 B
-1.4990 0.7725 -0.4648 B
-8.6718 2.2782 -2.6223 B
-17.0417 7.4898 -3.4763 Au
-3.4839 1.7955 -1.0802 Au
-10.6567 3.3011 -3.2378 Au

***

No. 20
Tb3C2Cl (PBE, optimized geometry); raw formation energy = -0.789 eV/atom
1.0
-2.0727 -0.8775 2.9094
-4.1968 0.9294 -5.0348
4.5268 -9.6810 0.3051
Tb C Cl
6 4 2
Cartesian
0.3362 -8.4019 -2.2945 Tb
-2.0789 -1.2272 0.4742 Tb
-0.1826 -5.7910 0.4487 Tb
0.9843 -2.6221 -0.0896 Tb
-2.7271 -7.0070 -1.7308 Tb
-1.5601 -3.8381 -2.2690 Tb
2.2634 -4.8405 0.1525 C
-0.4821 -6.1367 -2.1943 C
0.0000 0.0000 0.0000 C
-1.2606 -3.4924 0.3740 C
0.9891 -8.4278 0.4882 Cl
-2.7319 -1.2014 -2.3085 Cl